No. 1
The following is a PBE calculation of a geometry-optimized CaLaMn2 structure, from Alexandria.

abc: 5.156 5.156 5.156
angles: 60.00 60.00 60.00
Fractional coordinates of all 4 atoms:
Ca 0.000 0.000 0.000
La 0.250 0.250 0.250
Mn 0.500 0.500 0.500
Mn 0.750 0.750 0.750

Calculated values
The calculation puts the spin magnetization at 1.964 μB/atom. As for the total DFT energy (no corrections): -23.22 eV/cell.

---

No. 2
The following is a PBE calculation of a geometry-optimized La2CeTl structure, from Alexandria.

abc: 3.686 3.686 9.373
angles: 90.00 90.00 90.00
Fractional coordinates of all 4 atoms:
La 0.000 0.000 0.243
La 0.000 0.000 0.757
Ce 0.500 0.500 0.500
Tl 0.500 0.500 0.000

Calculated values
The calculation puts the spin magnetization at 0.081 μB/atom. For the excess energy over the best structure of this formula in the dataset, the calculation gives 39 meV/atom. As for the total DFT energy (no corrections): -18.73 eV/cell.